No. 1
The following is a DFT calculation (PBE-GGA) of a relaxed Ba4Li3Rh2 crystal.

Properties
Total magnetic moment in μB per cell: 0.0
Space-group type: C2/m
Crystal system: monoclinic

abc: 8.903 8.903 7.898
angles: 107.48 107.48 29.45
Sites, in units of the cell vectors:
Ba 0.062 0.062 0.323
Ba 0.262 0.262 0.801
Ba 0.738 0.738 0.199
Ba 0.938 0.938 0.677
Li 0.400 0.400 0.224
Li 0.500 0.500 0.000
Li 0.600 0.600 0.776
Rh 0.106 0.106 0.967
Rh 0.894 0.894 0.033

***

No. 2
The following is a DFT calculation (PBE-GGA) of a relaxed Ba3Li2Rh7 crystal.

Properties
Total magnetic moment in μB per cell: 0.0
Space-group type: R-3m
Crystal system: trigonal

abc: 9.462 9.462 9.462
angles: 34.00 34.00 34.00
Sites, in units of the cell vectors:
Ba 0.000 0.000 0.000
Ba 0.141 0.141 0.141
Ba 0.859 0.859 0.859
Li 0.336 0.336 0.336
Li 0.664 0.664 0.664
Rh 0.078 0.583 0.583
Rh 0.417 0.417 0.922
Rh 0.417 0.922 0.417
Rh 0.500 0.500 0.500
Rh 0.583 0.078 0.583
Rh 0.583 0.583 0.078
Rh 0.922 0.417 0.417

***

No. 3
The following is a DFT calculation (PBE-GGA) of a relaxed Ba3Li2Rh crystal.

Properties
Total magnetic moment in μB per cell: 0.0
Space-group type: Pnma
Crystal system: orthorhombic

abc: 14.170 4.614 13.784
angles: 90.00 90.00 90.00
Sites, in units of the cell vectors:
Ba 0.047 0.250 0.136
Ba 0.108 0.750 0.548
Ba 0.242 0.250 0.790
Ba 0.258 0.750 0.290
Ba 0.392 0.250 0.048
Ba 0.453 0.750 0.636
Ba 0.547 0.250 0.364
Ba 0.608 0.750 0.952
Ba 0.742 0.250 0.710
Ba 0.758 0.750 0.210
Ba 0.892 0.250 0.452
Ba 0.953 0.750 0.864
Li 0.031 0.750 0.324
Li 0.219 0.750 0.981
Li 0.281 0.250 0.481
Li 0.469 0.250 0.824
Li 0.531 0.750 0.176
Li 0.719 0.750 0.519
Li 0.781 0.250 0.019
Li 0.969 0.250 0.676
Rh 0.117 0.250 0.370
Rh 0.383 0.750 0.870
Rh 0.617 0.250 0.130
Rh 0.883 0.750 0.630

***

No. 4
The following is a DFT calculation (PBE-GGA) of a relaxed BaLiRh2 crystal.

Properties
Total magnetic moment in μB per cell: 0.0
Energy relative to the lowest polymorph listed for this composition in eV/atom: 0.2377
Space-group type: Imm2
Crystal system: orthorhombic

abc: 5.978 5.978 5.978
angles: 136.98 135.07 63.96
Sites, in units of the cell vectors:
Ba 0.000 0.000 0.000
Li 0.250 0.750 0.500
Rh 0.636 0.636 0.000
Rh 0.732 0.232 0.500

***

| no. | calculated formation energy (eV/atom) | volume (Å³ per atom) |
| --- | --- | --- |
| 1 | -0.0889 | 32.5 |
| 2 | -0.0982 | 19.7 |
| 3 | -0.0912 | 37.5 |
| 4 | 0.1183 | 25.4 |